Compound: LaSmTl2
Source: the Open Quantum Materials Database
Functional: PBE-GGA
Structure: relaxed

```
LaSmTl2
1.0
-3.895 -0.024 0.160
0.150 -1.971 3.359
0.121 6.784 3.976
La Sm Tl
1 1 2
direct
0.000 0.000 0.500
0.000 0.000 0.000
0.500 0.500 0.238
0.500 0.500 0.762
```

Results
M_tot, μB per formula unit: 0.1
Space-group type: P4/mmm, No. 123
DFT total energy, eV/f.u.: -15.989

---

Compound: LaSmTm
Source: the Open Quantum Materials Database
Functional: PBE-GGA
Structure: relaxed

```
LaSmTm
1.0
1.860 2.126 4.731
0.439 5.462 0.582
-3.444 2.699 3.349
La Tm Sm
1 1 1
direct
0.250 0.250 0.250
0.000 0.000 0.000
0.750 0.750 0.750
```

Results
Energy relative to the elements, eV per formula unit: 2.00
M_tot, μB per formula unit: 0.0
Energy relative to the lowest polymorph listed for this composition, meV per atom: 0
Space-group type: F-43m, No. 216
DFT total energy, eV/f.u.: -12.109

---

Compound: LaSmU
Source: the Open Quantum Materials Database
Functional: PBE-GGA
Structure: relaxed

```
LaSmU
1.0
0.000 3.647 3.647
3.647 0.000 3.647
3.647 3.647 0.000
U Sm La
1 1 1
direct
0.750 0.750 0.750
0.250 0.250 0.250
0.000 0.000 0.000
```

Results
Energy relative to the elements, eV per formula unit: 3.53
M_tot, μB per formula unit: 4.2
Energy relative to the lowest polymorph listed for this composition, meV per atom: 0
Space-group type: F-43m, No. 216
DFT total energy, eV/f.u.: -17.400

---

Compound: La2SmW
Source: the Open Quantum Materials Database
Functional: PBE-GGA
Structure: relaxed

```
La2SmW
1.0
-5.994 -2.836 0.056
-0.532 -3.532 5.587
-2.039 4.358 2.562
La W Sm
4 2 2
direct
0.956 0.626 0.250
0.374 0.044 0.250
0.044 0.374 0.750
0.626 0.956 0.750
0.500 0.500 0.500
0.500 0.500 0.000
0.829 0.171 0.250
0.171 0.829 0.750
```

Results
Energy relative to the elements, eV per formula unit: 2.03
M_tot, μB per formula unit: 0.0
Space-group type: Cmcm, No. 63
DFT total energy, eV/f.u.: -25.489

---

Compound: LaSmY
Source: the Open Quantum Materials Database
Functional: PBE-GGA
Structure: relaxed

```
LaSmY
1.0
0.000 3.929 3.929
3.929 0.000 3.929
3.929 3.929 0.000
Sm La Y
1 1 1
direct
0.000 0.000 0.000
0.250 0.250 0.250
0.750 0.750 0.750
```

Results
Energy relative to the elements, eV per formula unit: 2.09
M_tot, μB per formula unit: 0.2
Energy relative to the lowest polymorph listed for this composition, meV per atom: 640
Space-group type: F-43m, No. 216
DFT total energy, eV/f.u.: -14.010

---

Compound: LaSmY
Source: the Open Quantum Materials Database
Functional: PBE-GGA
Structure: relaxed

```
LaSmY
1.0
5.789 0.000 0.000
-2.894 5.013 0.000
0.000 0.000 10.662
La Sm Y
3 3 3
direct
0.667 0.333 0.667
0.667 0.333 0.000
0.667 0.333 0.333
0.333 0.667 0.835
0.333 0.667 0.165
0.000 0.000 0.500
0.333 0.667 0.500
0.000 0.000 0.832
0.000 0.000 0.168
```

Results
Energy relative to the elements, eV per formula unit: 0.17
M_tot, μB per formula unit: 0.0
Energy relative to the lowest polymorph listed for this composition, meV per atom: 0
Space-group type: P-6m2, No. 187
DFT total energy, eV/f.u.: -15.929

---

Compound: LaSmZn4
Source: the Open Quantum Materials Database
Functional: PBE-GGA
Structure: relaxed

```
LaSmZn4
1.0
-0.670 1.468 -3.072
3.366 -2.522 -1.940
-5.296 -5.819 -1.624
Zn Sm La
4 1 1
direct
0.501 0.000 0.338
0.501 0.500 0.827
0.499 0.000 0.662
0.499 0.500 0.173
0.000 0.500 0.500
0.000 0.000 0.000
```

Results
Energy relative to the elements, eV per formula unit: -2.13
M_tot, μB per formula unit: 0.0
Energy relative to the lowest polymorph listed for this composition, meV per atom: 16
Space-group type: Pmmm, No. 47
DFT total energy, eV/f.u.: -16.826

---

Compound: LaSmZn4
Source: the Open Quantum Materials Database
Functional: PBE-GGA
Structure: relaxed

```
LaSmZn4
1.0
4.562 0.866 3.455
-3.954 2.481 3.422
0.902 -5.458 -1.704
Sm Zn La
1 4 1
direct
0.972 0.472 0.500
0.966 0.164 0.802
0.362 0.164 0.198
0.534 0.833 0.702
0.131 0.833 0.298
0.534 0.534 0.000
```

Results
Energy relative to the elements, eV per formula unit: -2.23
M_tot, μB per formula unit: 0.0
Energy relative to the lowest polymorph listed for this composition, meV per atom: 0
Space-group type: Imm2, No. 44
DFT total energy, eV/f.u.: -16.924

---

Q: What is the DFT total energy in the third record?
A: -17.400 eV/f.u.

---

What did the sixth record say?
Compound: LaSmY
Source: the Open Quantum Materials Database
Functional: PBE-GGA
Structure: relaxed

```
LaSmY
1.0
5.789 0.000 0.000
-2.894 5.013 0.000
0.000 0.000 10.662
La Sm Y
3 3 3
direct
0.667 0.333 0.667
0.667 0.333 0.000
0.667 0.333 0.333
0.333 0.667 0.835
0.333 0.667 0.165
0.000 0.000 0.500
0.333 0.667 0.500
0.000 0.000 0.832
0.000 0.000 0.168
```

Results
Energy relative to the elements, eV per formula unit: 0.17
M_tot, μB per formula unit: 0.0
Energy relative to the lowest polymorph listed for this composition, meV per atom: 0
Space-group type: P-6m2, No. 187
DFT total energy, eV/f.u.: -15.929

---

Copy entry 1 word for word.
Compound: LaSmTl2
Source: the Open Quantum Materials Database
Functional: PBE-GGA
Structure: relaxed

```
LaSmTl2
1.0
-3.895 -0.024 0.160
0.150 -1.971 3.359
0.121 6.784 3.976
La Sm Tl
1 1 2
direct
0.000 0.000 0.500
0.000 0.000 0.000
0.500 0.500 0.238
0.500 0.500 0.762
```

Results
M_tot, μB per formula unit: 0.1
Space-group type: P4/mmm, No. 123
DFT total energy, eV/f.u.: -15.989

---

Q: Which of these has the highest DFT total energy?
A: LaSmTm